# Li3HfH | the Alexandria database | PBE | optimized geometry
# **Calculated density**: 1.82 g cm⁻³
# **Distance to the lowest polymorph of the same formula**: 1170 meV/atom
# **Symmetry**: No. 221
data_Li3HfH
_chemical_formula_sum 'Li3 Hf1 H1'
_space_group_name_H-M_alt 'P 1'
_space_group_IT_number 1
_space_group_name_Hall 'P 1'
_cell_length_a 5.678
_cell_length_b 5.678
_cell_length_c 5.678
_cell_angle_alpha 90.00
_cell_angle_beta 90.00
_cell_angle_gamma 90.00
loop_
_atom_site_label
_atom_site_type_symbol
_atom_site_fract_x
_atom_site_fract_y
_atom_site_fract_z
Li1 Li 0.000 0.000 0.500
Li2 Li 0.000 0.500 0.000
Li3 Li 0.500 0.000 0.000
Hf1 Hf 0.000 0.000 0.000
H1 H 0.500 0.500 0.500

=====

# LaCu2P | the Alexandria database | PBE | optimized geometry
# **Calculated density**: 6.85 g cm⁻³
# **Energy of formation from the pure elements**: -0.44 eV per atom
# **Symmetry**: No. 194
data_LaCu2P
_chemical_formula_sum 'La2 Cu4 P2'
_space_group_name_H-M_alt 'P 1'
_space_group_IT_number 1
_space_group_name_Hall 'P 1'
_cell_length_a 4.196
_cell_length_b 4.196
_cell_length_c 9.440
_cell_angle_alpha 90.00
_cell_angle_beta 90.00
_cell_angle_gamma 120.00
loop_
_atom_site_label
_atom_site_type_symbol
_atom_site_fract_x
_atom_site_fract_y
_atom_site_fract_z
La1 La 0.333 0.667 0.250
La2 La 0.667 0.333 0.750
Cu1 Cu 0.333 0.667 0.571
Cu2 Cu 0.333 0.667 0.929
Cu3 Cu 0.667 0.333 0.071
Cu4 Cu 0.667 0.333 0.429
P1 P 0.000 0.000 0.000
P2 P 0.000 0.000 0.500

=====

# La12PrPb3 | the Alexandria database | PBE | optimized geometry
# **Calculated density**: 7.49 g cm⁻³
# **Energy of formation from the pure elements**: -0.28 eV per atom
# **Symmetry**: No. 123
data_La12PrPb3
_chemical_formula_sum 'La12 Pr1 Pb3'
_space_group_name_H-M_alt 'P 1'
_space_group_IT_number 1
_space_group_name_Hall 'P 1'
_cell_length_a 5.102
_cell_length_b 5.102
_cell_length_c 20.694
_cell_angle_alpha 90.00
_cell_angle_beta 90.00
_cell_angle_gamma 90.00
loop_
_atom_site_label
_atom_site_type_symbol
_atom_site_fract_x
_atom_site_fract_y
_atom_site_fract_z
La1 La 0.000 0.000 0.000
La2 La 0.000 0.000 0.244
La3 La 0.000 0.000 0.500
La4 La 0.000 0.000 0.756
La5 La 0.000 0.500 0.122
La6 La 0.000 0.500 0.369
La7 La 0.000 0.500 0.631
La8 La 0.000 0.500 0.878
La9 La 0.500 0.000 0.122
La10 La 0.500 0.000 0.369
La11 La 0.500 0.000 0.631
La12 La 0.500 0.000 0.878
Pr1 Pr 0.500 0.500 0.500
Pb1 Pb 0.500 0.500 0.000
Pb2 Pb 0.500 0.500 0.245
Pb3 Pb 0.500 0.500 0.755

=====

Number 1: calculated volume 183.0 Å³ per cell. Number 2: calculated volume 143.9 Å³ per cell. Number 3: calculated volume 538.7 Å³ per cell.